Entry from Alexandria via LeMat-Bulk: an optimized crystal structure of AlCd3Pd (GGA-PBE).

calculated density	6.14	g/cm3
SG	Pm-3m
formation enthalpy at 0 K	2.858	eV per formula unit
D(E_F)	1.82	states/eV/cell

Lattice parameters (Å, degrees): 5.031 5.031 5.031 90.00 90.00 90.00
Fractional coordinates of all 5 atoms:
Cd 0.000 0.500 0.000
Cd 0.000 0.000 0.500
Cd 0.500 0.000 0.000
Al 0.000 0.000 0.000
Pd 0.500 0.500 0.500

***

Entry from Alexandria via LeMat-Bulk: an optimized crystal structure of Ti2MnB2 (GGA-PBE).

calculated density	5.45	g/cm3
SG	Immm
formation enthalpy at 0 K	-3.498	eV per formula unit
D(E_F)	2.45	states/eV/cell

Lattice parameters (Å, degrees): 3.041 4.590 4.590 62.73 70.66 70.66
Fractional coordinates of all 5 atoms:
Ti 0.219 0.281 0.281
Ti 0.781 0.719 0.719
B 0.500 0.316 0.684
B 0.500 0.684 0.316
Mn 0.000 0.000 0.000

***

Entry from Alexandria via LeMat-Bulk: an optimized crystal structure of SmY2ScS4 (GGA-PBE).

calculated density	4.99	g/cm3
SG	P2/m
uncorrected formation energy	-1.945	eV per atom
D(E_F)	4.93	states/eV/cell

Lattice parameters (Å, degrees): 3.862 6.795 6.731 109.10 90.00 90.00
Fractional coordinates of all 8 atoms:
S 0.500 0.764 0.758
S 0.000 0.761 0.250
S 0.000 0.239 0.750
S 0.500 0.236 0.242
Sc 0.000 0.000 0.000
Sm 0.500 0.500 0.000
Y 0.000 0.500 0.500
Y 0.500 0.000 0.500

***

Entry from Alexandria via LeMat-Bulk: an optimized crystal structure of SrScTe2 (GGA-PBE).

calculated density	4.80	g/cm3
SG	Cm
uncorrected formation energy	-1.191	eV per atom
D(E_F)	2.06	states/eV/cell

Lattice parameters (Å, degrees): 7.871 7.871 4.227 89.92 89.92 30.79
Site moments in Bohr magnetons follow the coordinates.
Fractional coordinates of all 4 atoms:
Sr 0.707 0.707 0.874  0.04
Sc 0.478 0.478 0.376  0.32
Te 0.022 0.022 0.876  -0.02
Te 0.293 0.293 0.374  0.00

***

Entry from Alexandria via LeMat-Bulk: an optimized crystal structure of CsAc2Ag (GGA-PBE).

calculated density	6.09	g/cm3
SG	R-3m
formation enthalpy at 0 K	0.731	eV per formula unit
D(E_F)	4.56	states/eV/cell

Lattice parameters (Å, degrees): 4.136 4.136 13.002 80.85 80.85 60.00
Fractional coordinates of all 4 atoms:
Ac 0.109 0.109 0.673
Ac 0.891 0.891 0.327
Ag 0.500 0.500 0.500
Cs 0.000 0.000 0.000

***

Entry from Alexandria via LeMat-Bulk: an optimized crystal structure of PuSbAu3 (GGA-PBE).

calculated density	14.23	g/cm3
SG	P2_1/m
uncorrected formation energy	-0.298	eV per atom
D(E_F)	29.72	states/eV/cell

Lattice parameters (Å, degrees): 5.612 6.255 6.464 90.00 79.75 90.00
Site moments in Bohr magnetons follow the coordinates.
Fractional coordinates of all 10 atoms:
Sb 0.415 0.750 0.811  -0.05
Sb 0.585 0.250 0.189  -0.05
Au 0.167 0.505 0.149  -0.01
Au 0.167 0.995 0.149  -0.01
Au 0.096 0.750 0.524  -0.01
Au 0.833 0.005 0.851  -0.01
Au 0.833 0.495 0.851  -0.01
Au 0.904 0.250 0.476  -0.01
Pu 0.347 0.250 0.710  5.31
Pu 0.653 0.750 0.290  5.31

***

Entry from Alexandria via LeMat-Bulk: an optimized crystal structure of CaTi2Ag (GGA-PBE).

calculated density	4.67	g/cm3
SG	I-42d
formation enthalpy at 0 K	2.075	eV per formula unit
D(E_F)	12.77	states/eV/cell

Lattice parameters (Å, degrees): 3.962 3.962 11.380 79.97 79.97 90.00
Fractional coordinates of all 8 atoms:
Ca 0.500 0.500 0.000
Ca 0.250 0.750 0.500
Ti 0.375 0.353 0.750
Ti 0.647 0.125 0.250
Ti 0.875 0.897 0.750
Ti 0.103 0.625 0.250
Ag 0.000 0.000 0.000
Ag 0.750 0.250 0.500

***

Entry from Alexandria via LeMat-Bulk: an optimized crystal structure of Nd2Mg5Cd4 (GGA-PBE).

calculated density	4.99	g/cm3
SG	Fmmm
formation enthalpy at 0 K	-1.318	eV per formula unit
D(E_F)	4.61	states/eV/cell

Lattice parameters (Å, degrees): 6.014 5.728 10.215 81.11 72.88 58.33
Fractional coordinates of all 11 atoms:
Mg 0.250 0.500 0.500
Mg 0.500 0.500 0.000
Mg 0.000 0.500 0.000
Mg 0.750 0.500 0.500
Mg 0.500 0.000 0.000
Nd 0.105 0.000 0.790
Nd 0.895 0.000 0.210
Cd 0.789 0.683 0.739
Cd 0.211 0.317 0.261
Cd 0.472 0.317 0.739
Cd 0.528 0.683 0.261

***

Entry from Alexandria via LeMat-Bulk: an optimized crystal structure of Na2SmTiTe4 (GGA-PBE).

calculated density	5.16	g/cm3
SG	P2/m
uncorrected formation energy	-1.008	eV per atom
D(E_F)	4.58	states/eV/cell

Lattice parameters (Å, degrees): 4.279 7.458 7.993 107.97 90.00 90.00
Site moments in Bohr magnetons follow the coordinates.
Fractional coordinates of all 8 atoms:
Na 0.500 0.000 0.500  0.00
Na 0.000 0.500 0.500  0.00
Te 0.500 0.735 0.769  -0.02
Te 0.500 0.265 0.231  -0.02
Te 0.000 0.282 0.783  -0.03
Te 0.000 0.718 0.217  -0.03
Ti 0.500 0.500 0.000  0.90
Sm 0.000 0.000 0.000  0.03

***

Entry from Alexandria via LeMat-Bulk: an optimized crystal structure of NbNiB2Se (GGA-PBE).

calculated density	6.01	g/cm3
SG	P4/mmm
uncorrected formation energy	0.847	eV per atom
D(E_F)	4.08	states/eV/cell

Lattice parameters (Å, degrees): 3.765 4.917 3.765 90.00 90.00 90.00
Site moments in Bohr magnetons follow the coordinates.
Fractional coordinates of all 5 atoms:
Ni 0.000 0.000 0.000  0.04
B 0.000 0.000 0.500  -0.01
B 0.500 0.000 0.000  0.00
Nb 0.500 0.500 0.500  0.63
Se 0.000 0.500 0.000  0.00

***

Entry from Alexandria via LeMat-Bulk: an optimized crystal structure of RbSnGeTe3 (GGA-PBE).

calculated density	4.75	g/cm3
SG	P2_1/m
uncorrected formation energy	-0.387	eV per atom
D(E_F)	3.27	states/eV/cell

Lattice parameters (Å, degrees): 5.017 9.360 10.269 107.04 90.00 90.00
Fractional coordinates of all 12 atoms:
Ge 0.750 0.896 0.379
Ge 0.250 0.104 0.621
Te 0.250 0.493 0.809
Te 0.250 0.072 0.867
Te 0.250 0.810 0.447
Te 0.750 0.928 0.133
Te 0.750 0.190 0.553
Te 0.750 0.507 0.191
Sn 0.250 0.672 0.106
Sn 0.750 0.328 0.894
Rb 0.750 0.758 0.740
Rb 0.250 0.242 0.260

***

Entry from Alexandria via LeMat-Bulk: an optimized crystal structure of YTe2Ru (GGA-PBE).

calculated density	7.35	g/cm3
SG	P2/m
uncorrected formation energy	-0.367	eV per atom
D(E_F)	2.22	states/eV/cell

Lattice parameters (Å, degrees): 4.213 4.954 4.967 75.92 90.00 90.00
Fractional coordinates of all 4 atoms:
Y 0.500 0.250 0.250
Te 0.000 0.953 0.954
Te 0.000 0.547 0.546
Ru 0.500 0.750 0.750

***

Entry from Alexandria via LeMat-Bulk: an optimized crystal structure of Sr2In2Au (GGA-PBE).

calculated density	6.48	g/cm3
SG	C2/m
formation enthalpy at 0 K	-2.660	eV per formula unit
D(E_F)	7.55	states/eV/cell

Lattice parameters (Å, degrees): 4.881 6.304 11.151 87.45 77.36 67.22
Fractional coordinates of all 10 atoms:
Au 0.381 0.902 0.336
Au 0.619 0.098 0.664
Sr 0.925 0.267 0.883
Sr 0.327 0.678 0.668
Sr 0.075 0.733 0.117
Sr 0.673 0.322 0.332
In 0.632 0.850 0.886
In 0.368 0.150 0.114
In 0.100 0.244 0.556
In 0.900 0.756 0.444

***

Entry from Alexandria via LeMat-Bulk: an optimized crystal structure of DyScCdOs (GGA-PBE).

calculated density	9.97	g/cm3
SG	P4mm
formation enthalpy at 0 K	-1.461	eV per formula unit
D(E_F)	2.87	states/eV/cell

Lattice parameters (Å, degrees): 3.362 3.362 7.519 90.00 90.00 90.00
Fractional coordinates of all 4 atoms:
Cd 0.000 0.000 0.093
Os 0.000 0.000 0.552
Dy 0.500 0.500 0.783
Sc 0.500 0.500 0.358

***

Entry from Alexandria via LeMat-Bulk: an optimized crystal structure of Ac3Cu2SiNi6 (GGA-PBE).

calculated density	8.47	g/cm3
SG	P-3m1
uncorrected formation energy	-0.208	eV per atom
D(E_F)	11.58	states/eV/cell

Lattice parameters (Å, degrees): 5.890 5.890 7.750 90.00 90.00 120.00
Fractional coordinates of all 12 atoms:
Si 0.000 0.000 0.500
Cu 0.667 0.333 0.889
Cu 0.333 0.667 0.111
Ac 0.667 0.333 0.285
Ac 0.000 0.000 0.000
Ac 0.333 0.667 0.715
Ni 0.806 0.194 0.635
Ni 0.612 0.806 0.365
Ni 0.194 0.388 0.365
Ni 0.388 0.194 0.635
Ni 0.194 0.806 0.365
Ni 0.806 0.612 0.635

***

Entry from Alexandria via LeMat-Bulk: an optimized crystal structure of TaIr2Br (GGA-PBE).

calculated density	11.45	g/cm3
SG	I-42d
uncorrected formation energy	0.672	eV per atom
D(E_F)	0.84	states/eV/cell

Lattice parameters (Å, degrees): 6.193 6.193 6.556 61.81 61.81 90.00
Fractional coordinates of all 8 atoms:
Br 0.250 0.750 0.500
Br 0.500 0.500 0.000
Ir 0.118 0.625 0.250
Ir 0.875 0.882 0.750
Ir 0.632 0.125 0.250
Ir 0.375 0.368 0.750
Ta 0.750 0.250 0.500
Ta 0.000 0.000 0.000

***

Entry from Alexandria via LeMat-Bulk: an optimized crystal structure of Th3Al2Ga4 (GGA-PBE).

calculated density	8.37	g/cm3
SG	C2/m
formation enthalpy at 0 K	-5.301	eV per formula unit
D(E_F)	1.30	states/eV/cell

Lattice parameters (Å, degrees): 4.308 6.041 8.578 101.05 90.00 110.89
Fractional coordinates of all 9 atoms:
Al 0.611 0.223 0.278
Al 0.389 0.777 0.722
Th 0.334 0.668 0.333
Th 0.666 0.332 0.667
Th 0.000 0.000 0.000
Ga 0.720 0.440 0.054
Ga 0.056 0.112 0.389
Ga 0.944 0.888 0.611
Ga 0.280 0.560 0.946

***

Entry from Alexandria via LeMat-Bulk: an optimized crystal structure of BaIn2Fe (GGA-PBE).

calculated density	6.23	g/cm3
SG	Pmmm
formation enthalpy at 0 K	1.449	eV per formula unit
D(E_F)	6.17	states/eV/cell

Lattice parameters (Å, degrees): 4.637 4.667 5.206 90.00 90.00 90.00
Site moments in Bohr magnetons follow the coordinates.
Fractional coordinates of all 4 atoms:
Ba 0.500 0.000 0.500  -0.12
Fe 0.000 0.500 0.500  2.94
In 0.500 0.500 0.000  -0.04
In 0.000 0.000 0.000  -0.05

***

Entry from Alexandria via LeMat-Bulk: an optimized crystal structure of MgSiSnHS (GGA-PBE).

calculated density	2.93	g/cm3
total energy	-19.4	eV per cell
SG	Pm
D(E_F)	0.91	states/eV/cell

Lattice parameters (Å, degrees): 5.039 4.210 5.455 90.00 90.94 90.00
Fractional coordinates of all 5 atoms:
Sn 0.852 0.500 0.456
S 0.356 0.500 0.632
H 0.579 0.000 0.089
Si 0.875 0.000 0.167
Mg 0.266 0.000 0.850

***

Entry from Alexandria via LeMat-Bulk: an optimized crystal structure of TlB (GGA-PBE).

calculated density	7.02	g/cm3
SG	Pm-3n
formation enthalpy at 0 K	3.087	eV per formula unit
D(E_F)	4.86	states/eV/cell

Lattice parameters (Å, degrees): 6.734 6.734 6.734 90.00 90.00 90.00
Fractional coordinates of all 12 atoms:
B 0.500 0.000 0.750
B 0.250 0.500 0.000
B 0.000 0.250 0.500
B 0.750 0.500 0.000
B 0.500 0.000 0.250
B 0.000 0.750 0.500
Tl 0.250 0.000 0.500
Tl 0.000 0.500 0.750
Tl 0.750 0.000 0.500
Tl 0.000 0.500 0.250
Tl 0.500 0.750 0.000
Tl 0.500 0.250 0.000